[1]
Density functional theory data (PBE) for CuPdI6 after structural relaxation.

calculated density = 5.669 Mg/m³
energy above the most stable polymorph in this dataset = 0 meV per atom
ΔE_f (raw) = -0.06 eV/f.u.
V = 34.10 Å³ per atom

```
data_CuPdI6
_space_group_name_H-M_alt 'P -1'
_space_group_IT_number 2
_cell_length_a 7.1620
_cell_length_b 7.1702
_cell_length_c 7.1731
_cell_angle_alpha 62.13
_cell_angle_beta 62.11
_cell_angle_gamma 62.13
loop_
_space_group_symop_operation_xyz
'x,y,z'
'-x,-y,-z'
loop_
_atom_site_label
_atom_site_fract_x
_atom_site_fract_y
_atom_site_fract_z
Cu1 0.0000 0.0000 0.0000
Pd1 0.5000 0.5000 0.5000
I1 0.1159 0.7429 0.3846
I2 0.2571 0.6156 0.8837
I3 0.3850 0.1160 0.7428
```

=====

[2]
Density functional theory data (PBE) for NbCdSe3 after structural relaxation.

calculated density = 5.596 Mg/m³
energy above the most stable polymorph in this dataset = 0 meV per atom
ΔE_f (raw) = -0.91 eV/f.u.
V = 26.24 Å³ per atom

```
data_NbCdSe3
_space_group_name_H-M_alt 'P m -3 m'
_space_group_IT_number 221
_space_group_name_Hall '-P 4 2 3'
_cell_length_a 5.0815
_cell_length_b 5.0815
_cell_length_c 5.0815
_cell_angle_alpha 90.00
_cell_angle_beta 90.00
_cell_angle_gamma 90.00
loop_
_atom_site_label
_atom_site_fract_x
_atom_site_fract_y
_atom_site_fract_z
Nb1 0.0000 0.0000 0.0000
Cd1 0.5000 0.5000 0.5000
Se1 0.0000 0.0000 0.5000
```

=====

One value per record, in order, for calculated total energy: -0.1713 -0.3286 Ry per atom.
One value per record, in order, for magnetization: 0.000 0.000 μB/atom.